Ho2PtC (PBE, optimized geometry); raw total energy = -6.749 eV/atom; mass density = 11.46 g/cm³; total magnetization = 0.00 μB/atom; formation energy = -0.6440 eV/atom; calculated volume = 19.45 Å³ per atom
1.0
-3.468 0.750 0.935
-2.616 0.088 -2.572
-3.179 -6.226 0.404
C Ho Pt
1 2 1
direct
0.500 0.500 0.500
0.234 0.234 0.298
0.766 0.766 0.702
0.000 0.000 0.000